# 1
# PBE-GGA TiMo2Pd, optimized geometry
# calculated formation energy	0.8	eV/f.u.
# relative energy among the computed polymorphs	0.000	eV per atom
# M_tot	0.000	μB/f.u.
data_TiMo2Pd
_cell_length_a 4.469
_cell_length_b 4.469
_cell_length_c 4.469
_cell_angle_alpha 60.00
_cell_angle_beta 60.00
_cell_angle_gamma 60.00
_space_group_name_H-M_alt 'P 1'
_space_group_IT_number 1
loop_
_space_group_symop_operation_xyz
'x,y,z'
loop_
_atom_site_label
_atom_site_type_symbol
_atom_site_fract_x
_atom_site_fract_y
_atom_site_fract_z
Mo1 Mo 0.250 0.250 0.250
Mo2 Mo 0.750 0.750 0.750
Pd1 Pd 0.500 0.500 0.500
Ti1 Ti 0.000 0.000 0.000

=====

# 2
# PBE-GGA TbDy2In3Se6, optimized geometry
# M_tot	0.000	μB/f.u.
# uncorrected formation energy	-1.302	eV/atom
data_TbDy2In3Se6
_cell_length_a 7.196
_cell_length_b 7.196
_cell_length_c 8.108
_cell_angle_alpha 98.51
_cell_angle_beta 98.51
_cell_angle_gamma 120.00
_space_group_name_H-M_alt 'P 1'
_space_group_IT_number 1
loop_
_space_group_symop_operation_xyz
'x,y,z'
loop_
_atom_site_label
_atom_site_type_symbol
_atom_site_fract_x
_atom_site_fract_y
_atom_site_fract_z
Dy1 Dy 0.333 0.667 0.000
Dy2 Dy 0.667 0.333 0.000
In1 In 0.167 0.833 0.500
In2 In 0.500 0.500 0.500
In3 In 0.833 0.167 0.500
Se1 Se 0.930 0.596 0.791
Se2 Se 0.070 0.404 0.209
Se3 Se 0.735 0.735 0.208
Se4 Se 0.404 0.070 0.209
Se5 Se 0.265 0.265 0.792
Se6 Se 0.596 0.930 0.791
Tb1 Tb 0.000 0.000 0.000

=====

# 3
# PBE-GGA AlAg4Te3, optimized geometry
# M_tot	0.000	μB/f.u.
# uncorrected formation energy	-0.038	eV/atom
data_AlAg4Te3
_cell_length_a 7.733
_cell_length_b 7.442
_cell_length_c 8.911
_cell_angle_alpha 99.65
_cell_angle_beta 90.00
_cell_angle_gamma 121.30
_space_group_name_H-M_alt 'P 1'
_space_group_IT_number 1
loop_
_space_group_symop_operation_xyz
'x,y,z'
loop_
_atom_site_label
_atom_site_type_symbol
_atom_site_fract_x
_atom_site_fract_y
_atom_site_fract_z
Te1 Te 0.551 0.250 0.384
Te2 Te 0.003 0.973 0.786
Te3 Te 0.699 0.250 0.884
Te4 Te 0.338 0.657 0.551
Te5 Te 0.319 0.657 0.051
Te6 Te 0.970 0.973 0.286
Al1 Al 0.240 0.831 0.325
Al2 Al 0.591 0.831 0.825
Ag1 Ag 0.785 0.705 0.998
Ag2 Ag 0.563 0.599 0.270
Ag3 Ag 0.563 0.458 0.683
Ag4 Ag 0.934 0.307 0.453
Ag5 Ag 0.373 0.307 0.953
Ag6 Ag 0.919 0.705 0.498
Ag7 Ag 0.895 0.458 0.183
Ag8 Ag 0.036 0.599 0.770

=====

# 4
# PBE-GGA NaZnN, optimized geometry
# M_tot	0.000	μB/f.u.
# uncorrected formation energy	0.031	eV/atom
data_NaZnN
_cell_length_a 6.668
_cell_length_b 6.626
_cell_length_c 5.820
_cell_angle_alpha 64.41
_cell_angle_beta 63.66
_cell_angle_gamma 51.93
_space_group_name_H-M_alt 'P 1'
_space_group_IT_number 1
loop_
_space_group_symop_operation_xyz
'x,y,z'
loop_
_atom_site_label
_atom_site_type_symbol
_atom_site_fract_x
_atom_site_fract_y
_atom_site_fract_z
Na1 Na 0.877 0.877 0.623
Na2 Na 0.873 0.873 0.127
Na3 Na 0.623 0.623 0.877
Na4 Na 0.127 0.127 0.873
N1 N 0.265 0.735 0.735
N2 N 0.485 0.015 0.015
N3 N 0.735 0.265 0.265
N4 N 0.015 0.485 0.485
Zn1 Zn 0.375 0.875 0.375
Zn2 Zn 0.375 0.375 0.375
Zn3 Zn 0.875 0.375 0.375
Zn4 Zn 0.375 0.375 0.875

=====

# 5
# PBE-GGA Li2PrReN4, optimized geometry
# M_tot	0.000	μB/f.u.
# uncorrected formation energy	-0.745	eV/atom
data_Li2PrReN4
_cell_length_a 5.205
_cell_length_b 5.237
_cell_length_c 7.723
_cell_angle_alpha 90.00
_cell_angle_beta 90.00
_cell_angle_gamma 90.00
_space_group_name_H-M_alt 'P 1'
_space_group_IT_number 1
loop_
_space_group_symop_operation_xyz
'x,y,z'
loop_
_atom_site_label
_atom_site_type_symbol
_atom_site_fract_x
_atom_site_fract_y
_atom_site_fract_z
N1 N 0.853 0.772 0.500
N2 N 0.353 0.228 0.000
N3 N 0.366 0.657 0.695
N4 N 0.943 0.852 0.000
N5 N 0.443 0.148 0.500
N6 N 0.866 0.343 0.805
N7 N 0.866 0.343 0.195
N8 N 0.366 0.657 0.305
Li1 Li 0.990 0.713 0.753
Li2 Li 0.490 0.287 0.253
Li3 Li 0.990 0.713 0.247
Li4 Li 0.490 0.287 0.747
Re1 Re 0.001 0.197 0.000
Re2 Re 0.501 0.803 0.500
Pr1 Pr 0.490 0.716 0.000
Pr2 Pr 0.990 0.284 0.500

=====

# 6
# PBE-GGA Na2HfTlH, optimized geometry
# VASP energy	-0.09439	hartree per atom
# M_tot	0.479	μB/f.u.
data_Na2HfTlH
_cell_length_a 5.752
_cell_length_b 5.473
_cell_length_c 5.752
_cell_angle_alpha 90.00
_cell_angle_beta 90.00
_cell_angle_gamma 90.00
_space_group_name_H-M_alt 'P 1'
_space_group_IT_number 1
loop_
_space_group_symop_operation_xyz
'x,y,z'
loop_
_atom_site_label
_atom_site_type_symbol
_atom_site_fract_x
_atom_site_fract_y
_atom_site_fract_z
Na1 Na 0.000 0.000 0.500
Na2 Na 0.500 0.000 0.000
Tl1 Tl 0.000 0.000 0.000
Hf1 Hf 0.000 0.500 0.000
H1 H 0.500 0.500 0.500

=====

# 7
# PBE-GGA FeIrAu2, optimized geometry
# calculated formation energy	2.6	eV/f.u.
# relative energy among the computed polymorphs	0.536	eV per atom
# M_tot	0.001	μB/f.u.
data_FeIrAu2
_cell_length_a 4.438
_cell_length_b 4.438
_cell_length_c 4.438
_cell_angle_alpha 60.00
_cell_angle_beta 60.00
_cell_angle_gamma 60.00
_space_group_name_H-M_alt 'P 1'
_space_group_IT_number 1
loop_
_space_group_symop_operation_xyz
'x,y,z'
loop_
_atom_site_label
_atom_site_type_symbol
_atom_site_fract_x
_atom_site_fract_y
_atom_site_fract_z
Au1 Au 0.750 0.750 0.750
Au2 Au 0.250 0.250 0.250
Fe1 Fe 0.000 0.000 0.000
Ir1 Ir 0.500 0.500 0.500

=====

# 8
# PBE-GGA Tb6SmDy3Tm2, optimized geometry
# calculated formation energy	0.2	eV/f.u.
# M_tot	0.000	μB/f.u.
data_Tb6SmDy3Tm2
_cell_length_a 6.142
_cell_length_b 6.142
_cell_length_c 11.760
_cell_angle_alpha 94.97
_cell_angle_beta 94.97
_cell_angle_gamma 119.95
_space_group_name_H-M_alt 'P 1'
_space_group_IT_number 1
loop_
_space_group_symop_operation_xyz
'x,y,z'
loop_
_atom_site_label
_atom_site_type_symbol
_atom_site_fract_x
_atom_site_fract_y
_atom_site_fract_z
Dy1 Dy 0.500 0.500 0.500
Dy2 Dy 0.833 0.167 0.500
Dy3 Dy 0.167 0.833 0.500
Tb1 Tb 0.084 0.418 0.250
Tb2 Tb 0.250 0.250 0.750
Tb3 Tb 0.916 0.582 0.750
Tb4 Tb 0.418 0.084 0.250
Tb5 Tb 0.582 0.916 0.750
Tb6 Tb 0.750 0.750 0.250
Tm1 Tm 0.667 0.333 0.000
Tm2 Tm 0.333 0.667 0.000
Sm1 Sm 0.000 0.000 0.000